Compound: Eu2InF
Source: Alexandria via LeMat-Bulk
Functional: PBE-GGA
Structure: relaxed

Unit cell a=3.4183 b=3.4183 c=8.4370 alpha=90.00 beta=90.00 gamma=90.00
Closest atoms and distances in Å follow each position.
Positions (direct):
Eu (0.0000, 0.0000, 0.2194)  4 F 3.04, 4 In 3.38
Eu (0.0000, 0.0000, 0.7806)  4 F 3.04, 4 In 3.38
In (0.5000, 0.5000, 0.5000)  8 Eu 3.38, 4 In 3.42
F (0.5000, 0.5000, 0.0000)  8 Eu 3.04

## Properties
Energy relative to the elements, uncorrected ... -1.2784 eV/atom